The following is a PBE calculation of Nd2BF after structural relaxation, from Alexandria.

Cell and atoms, written as extended XYZ:
```
4
Lattice="-2.6479 -0.8459 2.7171 -0.9973 -3.6991 0.6569 3.2403 -1.9704 5.3248" Properties=species:S:1:pos:R:3 pbc="T T T"
B 0.0000 0.0000 0.0000
Nd -0.2522 -4.8919 6.5727
Nd -0.1528 -1.6236 2.1261
F -0.2025 -3.2578 4.3494
```

## Properties
Energy relative to the elements, uncorrected = -1.26 eV/atom
E_tot = -5.779 eV/atom
D(E_F) = 3.33 states/eV/f.u.

The following is a PBE calculation of NdBF after structural relaxation, from Alexandria.

Cell and atoms, written as extended XYZ:
```
6
Lattice="-2.9672 0.4219 1.0145 -1.1833 -3.1294 -2.1595 3.5881 -3.7307 7.1114" Properties=species:S:1:pos:R:3 pbc="T T T"
F -0.9267 -1.6608 2.9144
F 0.3642 -4.7774 3.0520
B -2.8279 -1.2467 -0.3152
B -1.3226 -1.4608 -0.8298
Nd -0.1483 -3.0548 0.8366
Nd -0.4142 -3.3834 5.1298
```

## Properties
E above lowest polymorph = 424 meV per atom
Energy relative to the elements, uncorrected = -1.44 eV/atom
E_tot = -5.878 eV/atom
D(E_F) = 0.83 states/eV/f.u.

The following is a PBE calculation of NdBF after structural relaxation, from Alexandria.

Cell and atoms, written as extended XYZ:
```
6
Lattice="-1.0673 1.9805 -2.7049 -2.4007 -1.2430 -2.2508 -7.4023 3.5144 3.2060" Properties=species:S:1:pos:R:3 pbc="T T T"
Nd -6.8477 2.8648 0.2235
Nd -4.0226 1.3871 -1.9732
B -6.5470 2.3492 -2.5607
B -4.3234 1.9027 0.8111
F -8.9798 3.6215 -0.6692
F -1.8906 0.6304 -1.0805
```

## Properties
E above lowest polymorph = 0 meV per atom
Energy relative to the elements, uncorrected = -1.86 eV/atom
E_tot = -6.302 eV/atom
D(E_F) = 0.85 states/eV/f.u.